No. 1
DFT (PBE) results for an optimized crystal structure of AgHgPd14.

Computed properties:
- Total DFT energy (no corrections): -76.0 eV/f.u.
- Spin magnetization: 0.00 μB per formula unit

abc: 9.287 5.611 9.745
angles: 90.00 90.00 90.00
Space group Amm2 (No. 38)
One atom of each set of equivalent atoms:
Ag  0.000  0.000  0.000 (multiplicity 2)
Hg  0.000  0.000  0.500 (multiplicity 2)
Pd  0.000  0.250  0.250 (multiplicity 4)
Pd  0.252  0.000  0.166 (multiplicity 4)
Pd  0.252  0.000  0.666 (multiplicity 4)
Pd  0.254  0.249  0.915 (multiplicity 8)
Pd  0.500  0.000  0.331 (multiplicity 2)
Pd  0.500  0.000  0.831 (multiplicity 2)
Pd  0.500  0.250  0.081 (multiplicity 4)



No. 2
DFT (PBE) results for an optimized crystal structure of AgHgPd4.

Computed properties:
- Total DFT energy (no corrections): -23.7 eV/f.u.
- Spin magnetization: 0.00 μB per formula unit

abc: 5.247 7.806 5.595
angles: 90.00 115.13 90.00
Space group C2/m (No. 12)
One atom of each set of equivalent atoms:
Ag  0.000  0.000  0.000 (multiplicity 2)
Hg  0.000  0.000  0.500 (multiplicity 2)
Pd  0.002  0.317  0.752 (multiplicity 8)



No. 3
DFT (PBE) results for an optimized crystal structure of Ag2HgPd2.

Computed properties:
- Total DFT energy (no corrections): -16.3 eV/f.u.
- Spin magnetization: 0.00 μB per formula unit

abc: 7.064 7.064 3.785
angles: 90.00 90.00 90.00
Space group P4/mbm (No. 127)
One atom of each set of equivalent atoms:
Ag  0.159  0.341  0.000 (multiplicity 4)
Hg  0.000  0.000  0.500 (multiplicity 2)
Pd  0.137  0.637  0.500 (multiplicity 4)